No. 1
{"formula": "ErAgCl6", "functional": "GGA-PBE", "state": "relaxed", "lattice_angstrom": [[7.3975, 1.2171, -0.4268], [4.8211, 6.3622, -0.5898], [3.6291, 2.1498, 5.5143]], "species": ["Cl", "Cl", "Cl", "Cl", "Cl", "Cl", "Ag", "Er"], "fractional_positions": [[0.7159, 0.0982, 0.8352], [0.2841, 0.9018, 0.1648], [0.8871, 0.5079, 0.3081], [0.1129, 0.4921, 0.6919], [0.6102, 0.2125, 0.2983], [0.3898, 0.7875, 0.7017], [0.0000, 0.0000, 0.0000], [0.5000, 0.5000, 0.5000]], "raw_formation_energy_ev_per_fu": -9.18, "total_magnetization_mub_per_fu": 0.00, "e_tot_ev_per_fu": -27.669}

***

No. 2
{"formula": "Er2Ag5Cl12", "functional": "GGA-PBE", "state": "relaxed", "lattice_angstrom": [[-0.0157, 6.2654, 4.2610], [-2.6492, 0.5146, -7.5032], [-7.9302, -3.4274, 5.0105]], "species": ["Cl", "Cl", "Cl", "Cl", "Cl", "Cl", "Cl", "Cl", "Cl", "Cl", "Cl", "Cl", "Er", "Er", "Ag", "Ag", "Ag", "Ag", "Ag"], "fractional_positions": [[0.9211, 0.3572, 0.1630], [0.0789, 0.6428, 0.8370], [0.6282, 0.7409, 0.4749], [0.5503, 0.1007, 0.8486], [0.5639, 0.6428, 0.8370], [0.9483, 0.8966, 0.1489], [0.0517, 0.1034, 0.8511], [0.8873, 0.2591, 0.5251], [0.1127, 0.7409, 0.4749], [0.4361, 0.3572, 0.1630], [0.3718, 0.2591, 0.5251], [0.4497, 0.8993, 0.1514], [0.2492, 0.0000, 0.0000], [0.7508, 0.0000, 0.0000], [0.2884, 0.5769, 0.6173], [0.7116, 0.4231, 0.3827], [0.2800, 0.5599, 0.3115], [0.7200, 0.4401, 0.6885], [0.0000, 0.0000, 0.5000]], "raw_formation_energy_ev_per_fu": -22.31, "total_magnetization_mub_per_fu": 0.00, "e_tot_ev_per_fu": -67.855}

***

No. 3
{"formula": "ErIn2AgCl6", "functional": "GGA-PBE", "state": "relaxed", "lattice_angstrom": [[7.2710, 0.0000, 0.0353], [0.0000, 7.6531, 0.0000], [0.1143, 0.0000, 10.4002]], "species": ["Cl", "Cl", "Cl", "Cl", "Cl", "Cl", "Cl", "Cl", "Cl", "Cl", "Cl", "Cl", "In", "In", "In", "In", "Ag", "Ag", "Er", "Er"], "fractional_positions": [[0.6878, 0.2864, 0.5453], [0.0926, 0.4785, 0.7550], [0.9074, 0.5215, 0.2450], [0.7953, 0.8112, 0.5418], [0.2047, 0.1888, 0.4582], [0.1878, 0.2136, 0.0453], [0.4074, 0.9785, 0.7450], [0.7047, 0.3112, 0.9582], [0.8122, 0.7864, 0.9547], [0.3122, 0.7136, 0.4547], [0.5926, 0.0215, 0.2550], [0.2953, 0.6888, 0.0418], [0.0202, 0.9273, 0.2551], [0.9798, 0.0727, 0.7449], [0.5202, 0.5727, 0.7551], [0.4798, 0.4273, 0.2449], [0.0000, 0.5000, 0.5000], [0.5000, 0.0000, 0.0000], [0.5000, 0.0000, 0.5000], [0.0000, 0.5000, 0.0000]], "raw_formation_energy_ev_per_fu": -13.35, "total_magnetization_mub_per_fu": 0.00, "e_tot_ev_per_fu": -37.323}